## VNi2Ag (PBE)

Data for a relaxed structure of VNi2Ag.

## Properties
Total moment   0.41 μB per cell
Density of states at the Fermi level   8.806 states/eV/cell
Excess energy over the best structure of this formula in the dataset   465 meV per atom
ΔH_f (0 K)   0.483 eV per atom
VASP energy   -43.2 eV for the cell shown
V   14.36 A^3/atom

Unit cell a=6.596 b=6.596 c=5.359 alpha=52.02 beta=52.02 gamma=90.00
Site moments in Bohr magnetons follow the coordinates.
Element x y z (fractional)
V (0.500, 0.500, 0.000)  0.16
Ni (0.588, 0.125, 0.250)  0.02
Ni (0.162, 0.625, 0.250)  0.02
Ni (0.875, 0.838, 0.750)  0.02
Ag (0.000, 0.000, 0.000)  0.00
V (0.250, 0.750, 0.500)  0.16
Ni (0.375, 0.412, 0.750)  0.02
Ag (0.750, 0.250, 0.500)  0.00